1.
A plane-wave DFT calculation with PBE was carried out for a relaxed HoMgTi crystal.

## Properties
Calculated formation energy, meV per atom: 116
Excess energy over the best structure of this formula in the dataset, eV per atom: 0.094
Volume, Å³ per cell: 70
Total moment, μB/atom: 0.000

Cell lengths 6.913, 6.913, 6.913 Å; angles 152.57, 152.57, 39.18 degrees
Element x y z (fractional)
1 Ho 0.000 0.000 0.000
2 Mg 0.308 0.308 0.000
3 Ti 0.659 0.659 0.000


2.
A plane-wave DFT calculation with PBE was carried out for a relaxed MgTc3H crystal.

## Properties
Excess energy over the best structure of this formula in the dataset, eV per atom: 2.538
Volume, Å³ per cell: 102
Total moment, μB/atom: 1.355

Cell lengths 4.672, 4.672, 4.672 Å; angles 90.00, 90.00, 90.00 degrees
Element x y z (fractional)
1 Mg 0.000 0.000 0.000
2 Tc 0.000 0.000 0.500
3 Tc 0.000 0.500 0.000
4 Tc 0.500 0.000 0.000
5 H 0.500 0.500 0.500


3.
A plane-wave DFT calculation with PBE was carried out for a relaxed ZrTe2Rh crystal.

## Properties
Excess energy over the best structure of this formula in the dataset, eV per atom: 0.000
Energy relative to the elements, uncorrected, meV per atom: -723
Volume, Å³ per cell: 424
Total moment, μB/atom: 0.000

Cell lengths 8.545, 6.741, 8.421 Å; angles 90.00, 119.00, 90.00 degrees
Element x y z (fractional)
1 Zr 0.021 0.026 0.313
2 Zr 0.021 0.474 0.813
3 Zr 0.979 0.526 0.187
4 Zr 0.979 0.974 0.687
5 Te 0.228 0.242 0.160
6 Te 0.228 0.258 0.660
7 Te 0.323 0.738 0.419
8 Te 0.323 0.762 0.919
9 Te 0.677 0.238 0.081
10 Te 0.677 0.262 0.581
11 Te 0.772 0.742 0.340
12 Te 0.772 0.758 0.840
13 Rh 0.116 0.656 0.568
14 Rh 0.116 0.844 0.068
15 Rh 0.884 0.156 0.932
16 Rh 0.884 0.344 0.432


4.
A plane-wave DFT calculation with PBE was carried out for a relaxed Mn2OsSeBr crystal.

## Properties
Energy relative to the elements, uncorrected, meV per atom: 1029
Volume, Å³ per cell: 109
Total moment, μB/atom: 1.459

Cell lengths 4.876, 4.876, 4.599 Å; angles 90.00, 90.00, 90.00 degrees
Element x y z (fractional)
1 Mn 0.000 0.500 0.000
2 Mn 0.500 0.000 0.000
3 Os 0.000 0.000 0.500
4 Se 0.000 0.000 0.000
5 Br 0.500 0.500 0.500


5.
A plane-wave DFT calculation with PBE was carried out for a relaxed SrCuAg2F8 crystal.

## Properties
Energy relative to the elements, uncorrected, meV per atom: -1819
Volume, Å³ per cell: 176
Total moment, μB/atom: 0.256

Cell lengths 6.883, 6.883, 6.883 Å; angles 132.10, 132.10, 70.08 degrees
Element x y z (fractional)
1 Sr 0.000 0.000 0.000
2 Cu 0.250 0.750 0.500
3 Ag 0.500 0.500 0.000
4 Ag 0.750 0.250 0.500
5 F 0.104 0.573 0.891
6 F 0.148 0.038 0.484
7 F 0.336 0.852 0.890
8 F 0.427 0.318 0.532
9 F 0.554 0.664 0.516
10 F 0.682 0.213 0.109
11 F 0.787 0.896 0.468
12 F 0.962 0.446 0.110


6.
A plane-wave DFT calculation with PBE was carried out for a relaxed AlH3Pd crystal.

## Properties
Volume, Å³ per cell: 44
Total moment, μB/atom: 0.001
Raw total energy, eV per atom: -3.419

Cell lengths 3.518, 3.518, 3.518 Å; angles 90.00, 90.00, 90.00 degrees
Element x y z (fractional)
1 Al 0.000 0.000 0.000
2 H 0.000 0.000 0.500
3 H 0.000 0.500 0.000
4 H 0.500 0.000 0.000
5 Pd 0.500 0.500 0.500


7.
A plane-wave DFT calculation with PBE was carried out for a relaxed NaY2Hg2 crystal.

## Properties
Calculated formation energy, meV per atom: -73
Excess energy over the best structure of this formula in the dataset, eV per atom: 0.254
Volume, Å³ per cell: 153
Total moment, μB/atom: 0.000

Cell lengths 7.737, 7.737, 7.737 Å; angles 144.75, 144.75, 50.71 degrees
Element x y z (fractional)
1 Na 0.000 0.000 0.000
2 Y 0.250 0.750 0.500
3 Y 0.750 0.250 0.500
4 Hg 0.399 0.399 0.000
5 Hg 0.601 0.601 0.000


8.
A plane-wave DFT calculation with PBE was carried out for a relaxed CaTi3Si crystal.

## Properties
Excess energy over the best structure of this formula in the dataset, eV per atom: 1.463
Energy relative to the elements, uncorrected, meV per atom: 1729
Volume, Å³ per cell: 96
Total moment, μB/atom: 0.520

Cell lengths 4.572, 4.572, 4.572 Å; angles 90.00, 90.00, 90.00 degrees
Element x y z (fractional)
1 Ca 0.000 0.000 0.000
2 Ti 0.000 0.000 0.500
3 Ti 0.000 0.500 0.000
4 Ti 0.500 0.000 0.000
5 Si 0.500 0.500 0.500


9.
A plane-wave DFT calculation with PBE was carried out for a relaxed CaTa2Tl crystal.

## Properties
Calculated formation energy, meV per atom: 580
Excess energy over the best structure of this formula in the dataset, eV per atom: 0.311
Volume, Å³ per cell: 87
Total moment, μB/atom: 0.000

Cell lengths 3.387, 4.847, 5.298 Å; angles 90.00, 90.00, 90.00 degrees
Element x y z (fractional)
1 Ca 0.000 0.000 0.000
2 Ta 0.000 0.500 0.500
3 Ta 0.500 0.000 0.500
4 Tl 0.500 0.500 0.000


10.
A plane-wave DFT calculation with PBE was carried out for a relaxed Pr7BiI12 crystal.

## Properties
Energy relative to the elements, uncorrected, meV per atom: -1268
Volume, Å³ per cell: 846
Total moment, μB/atom: 0.000

Cell lengths 10.181, 10.181, 10.181 Å; angles 108.29, 108.29, 108.29 degrees
Element x y z (fractional)
1 Pr 0.000 0.000 0.000
2 Pr 0.166 0.457 0.386
3 Pr 0.386 0.166 0.457
4 Pr 0.457 0.386 0.166
5 Pr 0.543 0.614 0.834
6 Pr 0.614 0.834 0.543
7 Pr 0.834 0.543 0.614
8 Bi 0.500 0.500 0.500
9 I 0.026 0.105 0.343
10 I 0.105 0.343 0.026
11 I 0.192 0.578 0.731
12 I 0.269 0.808 0.422
13 I 0.343 0.026 0.105
14 I 0.422 0.269 0.808
15 I 0.578 0.731 0.192
16 I 0.657 0.974 0.895
17 I 0.731 0.192 0.578
18 I 0.808 0.422 0.269
19 I 0.895 0.657 0.974
20 I 0.974 0.895 0.657


11.
A plane-wave DFT calculation with PBE was carried out for a relaxed PmAl4PdPt2 crystal.

## Properties
Calculated formation energy, meV per atom: -895
Volume, Å³ per cell: 142
Total moment, μB/atom: 0.000

Cell lengths 9.265, 9.265, 9.265 Å; angles 26.74, 26.74, 26.74 degrees
Element x y z (fractional)
1 Pm 0.000 0.000 0.000
2 Al 0.133 0.133 0.133
3 Al 0.404 0.404 0.404
4 Al 0.596 0.596 0.596
5 Al 0.867 0.867 0.867
6 Pd 0.500 0.500 0.500
7 Pt 0.236 0.236 0.236
8 Pt 0.764 0.764 0.764


12.
A plane-wave DFT calculation with PBE was carried out for a relaxed TeBrCl2 crystal.

## Properties
Excess energy over the best structure of this formula in the dataset, eV per atom: 0.494
Energy relative to the elements, uncorrected, meV per atom: 92
Volume, Å³ per cell: 135
Total moment, μB/atom: 0.147

Cell lengths 4.323, 4.323, 7.228 Å; angles 90.00, 90.00, 90.00 degrees
Element x y z (fractional)
1 Te 0.000 0.000 0.000
2 Br 0.500 0.500 0.999
3 Cl 0.000 0.000 0.317
4 Cl 0.500 0.500 0.573